SmV2PO8 (PBE with a Hubbard U, optimized geometry); space-group type = P-3m1, No. 164; VASP energy = -87.36 eV for the cell shown; mass density = 5.37 g cm⁻³
1.0
-3.225 -3.581 1.031
3.769 0.875 3.052
-3.401 3.947 3.069
O Sm V P
8 1 2 1
Cartesian
-2.217 -0.560 2.899
0.442 -1.061 3.738
-3.299 2.302 3.414
2.096 0.776 3.209
0.163 0.327 1.643
-3.019 0.915 5.508
-4.953 0.466 3.943
-0.640 1.801 4.253
-1.700 1.973 1.534
-1.254 -1.677 2.030
-1.602 2.918 5.121
0.000 0.000 0.000